Entry 1:
Here is crystalline Hf4Ti3Pb at its relaxed geometry from Alexandria via LeMat-Bulk. Energies are from GGA-PBE.

Geometry as POSCAR:
```
Hf4Ti3Pb
1.0
-4.9128 1.9206 0.5340
-0.0836 -1.8547 5.9014
3.7778 8.8733 2.8423
Ti Pb Hf
6 2 8
Direct
0.3258 0.5000 0.2500
0.0000 0.0000 0.0000
0.6532 0.0000 0.7500
0.6742 0.5000 0.7500
0.0000 0.0000 0.5000
0.3468 0.0000 0.2500
0.0000 0.5000 0.5000
0.0000 0.5000 0.0000
0.5000 0.7545 0.5000
0.8499 0.7557 0.2500
0.5000 0.7545 0.0000
0.1501 0.7557 0.7500
0.5000 0.2455 0.5000
0.1501 0.2443 0.7500
0.8499 0.2443 0.2500
0.5000 0.2455 0.0000
```

Output
Crystal system: orthorhombic
Space-group type: No. 51
Energy relative to the elements (eV per atom): 0.042

Entry 2:
Here is crystalline PuCrN2 at its relaxed geometry from Alexandria via LeMat-Bulk. Energies are from GGA-PBE.

Geometry as POSCAR:
```
PuCrN2
1.0
5.3377 -0.2631 0.0000
-1.4684 5.6685 0.0000
0.0000 0.0000 6.1404
Cr N Pu
4 8 4
Direct
0.6287 0.6338 0.3533
0.3713 0.3662 0.6467
0.8713 0.3662 0.8533
0.1287 0.6338 0.1467
0.4655 0.8850 0.2531
0.2431 0.4481 0.3732
0.2569 0.5519 0.8732
0.0345 0.1150 0.7531
0.5345 0.1150 0.7469
0.9655 0.8850 0.2469
0.7431 0.4481 0.1268
0.7569 0.5519 0.6268
0.1839 0.8150 0.5798
0.8161 0.1850 0.4202
0.3161 0.1850 0.0798
0.6839 0.8150 0.9202
```

Output
Crystal system: monoclinic
Space-group type: No. 14

Entry 3:
Here is crystalline CaPm7Nd3 at its relaxed geometry from Alexandria via LeMat-Bulk. Energies are from GGA-PBE.

Geometry as POSCAR:
```
CaPm7Nd3
1.0
6.5919 0.0011 0.4245
0.4065 7.7822 1.1141
-0.0274 0.0506 7.8718
Pm Nd Ca
7 3 1
Direct
0.7923 0.2348 0.2348
0.2077 0.7652 0.7652
0.7440 0.5726 0.9165
0.7440 0.9165 0.5726
0.2560 0.4274 0.0835
0.0000 0.5000 0.5000
0.2560 0.0835 0.4274
0.0000 0.1718 0.8282
0.5000 0.0000 0.0000
0.0000 0.8282 0.1718
0.5000 0.5000 0.5000
```

Output
Distance to the lowest polymorph of the same formula (kJ/mol of formula units): 20
Crystal system: monoclinic
Space-group type: No. 12
Energy relative to the elements (eV per atom): 0.218

Entry 4:
Here is crystalline La2HgBrO at its relaxed geometry from Alexandria via LeMat-Bulk. Energies are from GGA-PBE.

Geometry as POSCAR:
```
La2HgBrO
1.0
5.6117 0.0000 0.0000
0.0000 5.5687 0.0000
0.0000 0.0000 5.6117
La O Hg Br
2 1 1 1
Direct
0.5000 0.0000 0.0000
0.0000 0.0000 0.5000
0.5000 0.5000 0.5000
0.0000 0.5000 0.0000
0.0000 0.0000 0.0000
```

Output
Crystal system: tetragonal
Space-group type: No. 123

Entry 5:
Here is crystalline Te5Ir at its relaxed geometry from Alexandria via LeMat-Bulk. Energies are from GGA-PBE.

Geometry as POSCAR:
```
Te5Ir
1.0
-3.8229 3.3299 -4.3813
-3.6175 -0.5860 -5.6097
-7.7256 -0.5904 0.5901
Te Ir
5 1
Direct
0.2111 0.2111 0.0272
0.9000 0.9000 0.7504
0.5557 0.5557 0.3888
0.6758 0.6758 0.6423
0.4352 0.4352 0.1357
0.0555 0.0555 0.8889
```

Output
Distance to the lowest polymorph of the same formula (kJ/mol of formula units): 0
Crystal system: monoclinic
Space-group type: No. 12

Entry 6:
Here is crystalline Be3AgN at its relaxed geometry from Alexandria via LeMat-Bulk. Energies are from GGA-PBE.

Geometry as POSCAR:
```
Be3AgN
1.0
-0.0241 -3.6300 -0.1732
3.3435 0.0457 -1.4237
1.4242 -0.1687 3.3393
Be Ag N
3 1 1
Direct
0.5000 0.0000 0.0000
0.0000 0.5000 0.0000
0.0000 0.0000 0.5000
0.5000 0.5000 0.5000
0.0000 0.0000 0.0000
```

Output
Distance to the lowest polymorph of the same formula (kJ/mol of formula units): 0
Crystal system: cubic
Space-group type: No. 221

Entry 7:
Here is crystalline CaAgSCl2 at its relaxed geometry from Alexandria via LeMat-Bulk. Energies are from GGA-PBE.

Geometry as POSCAR:
```
CaAgSCl2
1.0
-1.4495 -2.0671 -4.6033
-0.7966 -4.6356 2.3325
-5.2415 1.4121 1.0163
Ag S Ca Cl
1 1 1 2
Direct
0.5000 0.5000 0.5000
0.0000 0.0000 0.5000
0.0000 0.0000 0.0000
0.0000 0.5000 0.0000
0.5000 0.0000 0.0000
```

Output
Distance to the lowest polymorph of the same formula (kJ/mol of formula units): 52
Crystal system: tetragonal
Space-group type: No. 123

Entry 8:
Here is crystalline ZrScTe at its relaxed geometry from Alexandria via LeMat-Bulk. Energies are from GGA-PBE.

Geometry as POSCAR:
```
ZrScTe
1.0
-3.5448 3.9336 1.8029
-5.2832 0.6421 1.7218
-0.1035 -0.0370 3.7216
Zr Sc Te
1 1 1
Direct
0.6743 0.6743 0.3257
0.9960 0.9960 0.0040
0.3297 0.3297 0.6703
```

Output
Distance to the lowest polymorph of the same formula (kJ/mol of formula units): 36
Crystal system: tetragonal
Space-group type: No. 107

Entry 9:
Here is crystalline MgNb2V2Ru5 at its relaxed geometry from Alexandria via LeMat-Bulk. Energies are from GGA-PBE.

Geometry as POSCAR:
```
MgNb2V2Ru5
1.0
-1.2875 -1.8666 2.5020
6.4325 -6.8640 -1.8106
6.0869 4.0759 6.1730
Ru Nb V Mg
10 4 4 2
Direct
0.5000 0.7936 0.9345
0.5000 0.9345 0.2064
0.5000 0.4345 0.2936
0.5000 0.7064 0.4345
0.5000 0.2936 0.5655
0.5000 0.0000 0.5000
0.5000 0.0655 0.7936
0.5000 0.5000 0.0000
0.5000 0.5655 0.7064
0.5000 0.2064 0.0655
0.0000 0.1732 0.3268
0.0000 0.6732 0.1732
0.0000 0.8268 0.6732
0.0000 0.3268 0.8268
0.0000 0.6282 0.8718
0.0000 0.3718 0.1282
0.0000 0.1282 0.6282
0.0000 0.8718 0.3718
0.0000 0.5000 0.5000
0.0000 0.0000 0.0000
```

Output
Crystal system: tetragonal
Space-group type: No. 127
Energy relative to the elements (eV per atom): -0.023

Entry 10:
Here is crystalline RbZrSc2 at its relaxed geometry from Alexandria via LeMat-Bulk. Energies are from GGA-PBE.

Geometry as POSCAR:
```
RbZrSc2
1.0
-11.8144 -0.6115 4.9542
-10.7477 -3.5105 6.0549
-10.1642 -0.7851 7.7828
Sc Zr Rb
2 1 1
Direct
0.9245 0.9245 0.9245
0.0755 0.0755 0.0755
0.0000 0.0000 0.0000
0.5000 0.5000 0.5000
```

Output
Distance to the lowest polymorph of the same formula (kJ/mol of formula units): 0
Crystal system: trigonal
Space-group type: No. 166
Energy relative to the elements (eV per atom): 0.698

Entry 11:
Here is crystalline SmTm2AlPd4 at its relaxed geometry from Alexandria via LeMat-Bulk. Energies are from GGA-PBE.

Geometry as POSCAR:
```
SmTm2AlPd4
1.0
4.7783 0.0000 0.0000
2.3892 4.1382 0.0000
2.3892 1.3794 8.0783
Tm Pd Sm Al
2 4 1 1
Direct
0.2433 0.2433 0.2702
0.7567 0.7567 0.7298
0.3923 0.3923 0.8232
0.8717 0.8717 0.3849
0.6077 0.6077 0.1768
0.1283 0.1283 0.6151
0.0000 0.0000 0.0000
0.5000 0.5000 0.5000
```

Output
Crystal system: trigonal
Space-group type: No. 166
Energy relative to the elements (eV per atom): -0.854

Entry 12:
Here is crystalline CoHgTe2 at its relaxed geometry from Alexandria via LeMat-Bulk. Energies are from GGA-PBE.

Geometry as POSCAR:
```
CoHgTe2
1.0
6.3458 0.0000 0.0000
0.0000 6.3458 0.0000
3.1729 3.1729 5.7836
Te Co Hg
4 2 2
Direct
0.8750 0.8052 0.7500
0.3750 0.4448 0.7500
0.1948 0.6250 0.2500
0.5552 0.1250 0.2500
0.5000 0.5000 0.0000
0.2500 0.7500 0.5000
0.0000 0.0000 0.0000
0.7500 0.2500 0.5000
```

Output
Crystal system: tetragonal
Space-group type: No. 122

Looking at total DFT energy (no corrections) for the records above, in order, we have -133.74, -177.49, -47.17, -16.18, -25.26, -22.21, -16.27, -19.83, -173.15, -19.39, -45.01, -27.24 eV/cell.
Looking at N(E_F) for the records above, in order, we have 1.18, 1.82, 1.34, 1.06, 0.59, 0.23, 0.88, 1.01, 0.54, 1.85, 0.72, 0.96 states/eV per atom.